Entry 1:
Entry from the Alexandria database: an optimized crystal structure of Na2NF5 (PBE).

Space group: No. 15
Uncorrected formation energy (eV/atom): -1.473

a b c (Å): 7.853 8.493 10.306
angles (deg): 68.83 67.61 62.46
Positions (direct):
1 Na 0.474 0.098 0.669
2 Na 0.641 0.103 0.902
3 Na 0.646 0.397 0.598
4 Na 0.759 0.598 0.169
5 Na 0.241 0.402 0.831
6 Na 0.354 0.603 0.402
7 Na 0.359 0.897 0.098
8 Na 0.526 0.902 0.331
9 N 0.875 0.024 0.361
10 N 0.261 0.476 0.139
11 N 0.739 0.524 0.861
12 N 0.125 0.976 0.639
13 F 0.919 0.003 0.222
14 F 0.347 0.936 0.593
15 F 0.757 0.093 0.670
16 F 0.402 0.302 0.165
17 F 0.870 0.198 0.335
18 F 0.344 0.102 0.899
19 F 0.344 0.398 0.601
20 F 0.144 0.497 0.278
21 F 0.124 0.436 0.093
22 F 0.520 0.407 0.830
23 F 0.480 0.593 0.170
24 F 0.876 0.564 0.907
25 F 0.856 0.503 0.722
26 F 0.656 0.602 0.399
27 F 0.656 0.898 0.101
28 F 0.130 0.802 0.665
29 F 0.598 0.698 0.835
30 F 0.243 0.907 0.330
31 F 0.653 0.064 0.407
32 F 0.081 0.997 0.778

=====

Entry 2:
Entry from the Alexandria database: an optimized crystal structure of CoRe3Hg (PBE).

Space group: No. 221
Energy above the lowest structure with this stoichiometry (meV per atom): 0.0
Energy of formation from the pure elements (eV per atom): 1.697

a b c (Å): 4.453 4.453 4.453
angles (deg): 90.00 90.00 90.00
Positions (direct):
1 Re 0.000 0.500 0.000
2 Re 0.000 0.000 0.500
3 Re 0.500 0.000 0.000
4 Co 0.000 0.000 0.000
5 Hg 0.500 0.500 0.500

=====

Entry 3:
Entry from the Alexandria database: an optimized crystal structure of Ho2S3 (PBE).

Space group: No. 122
Uncorrected formation energy (eV/atom): -2.041

a b c (Å): 13.719 13.719 13.719
angles (deg): 144.81 144.81 50.62
Positions (direct):
1 Ho 0.165 0.165 0.000
2 Ho 0.875 0.507 0.132
3 Ho 0.178 0.299 0.400
4 Ho 0.585 0.085 0.500
5 Ho 0.375 0.743 0.868
6 Ho 0.899 0.778 0.600
7 Ho 0.222 0.822 0.121
8 Ho 0.493 0.625 0.368
9 Ho 0.915 0.415 0.500
10 Ho 0.257 0.125 0.632
11 Ho 0.701 0.101 0.879
12 Ho 0.835 0.835 0.000
13 Ho 0.528 0.149 0.100
14 Ho 0.851 0.951 0.379
15 Ho 0.572 0.472 0.621
16 Ho 0.049 0.428 0.900
17 S 0.073 0.827 0.614
18 S 0.865 0.250 0.746
19 S 0.504 0.119 0.254
20 S 0.885 0.131 0.884
21 S 0.246 0.000 0.116
22 S 0.677 0.790 0.254
23 S 0.214 0.460 0.386
24 S 0.536 0.423 0.746
25 S 0.404 0.157 0.596
26 S 0.192 0.596 0.754
27 S 0.210 0.464 0.886
28 S 0.843 0.438 0.246
29 S 0.577 0.323 0.114
30 S 0.562 0.808 0.404
31 S 0.000 0.115 0.246
32 S 0.869 0.754 0.754
33 S 0.750 0.496 0.616
34 S 0.540 0.927 0.754
35 S 0.173 0.786 0.246
36 S 0.558 0.812 0.904
37 S 0.907 0.654 0.096
38 S 0.346 0.442 0.254
39 S 0.881 0.135 0.384
40 S 0.188 0.093 0.746

=====

Entry 4:
Entry from the Alexandria database: an optimized crystal structure of Er3TlPt (PBE).

Space group: No. 63
Energy above the lowest structure with this stoichiometry (meV per atom): 81.7
Energy of formation from the pure elements (eV per atom): -0.587

a b c (Å): 3.767 7.960 9.806
angles (deg): 90.00 90.00 103.69
Positions (direct):
1 Er 0.662 0.323 0.931
2 Er 0.662 0.323 0.569
3 Er 0.338 0.677 0.069
4 Er 0.875 0.750 0.750
5 Er 0.125 0.250 0.250
6 Er 0.338 0.677 0.431
7 Tl 0.000 0.000 0.500
8 Tl 0.000 0.000 0.000
9 Pt 0.755 0.510 0.250
10 Pt 0.245 0.490 0.750

=====

Entry 5:
Entry from the Alexandria database: an optimized crystal structure of LiGeTeN2 (PBE).

Space group: No. 123
Uncorrected formation energy (eV/atom): 0.914
Energy above the lowest structure with this stoichiometry (meV per atom): 0.0

a b c (Å): 3.834 3.834 5.911
angles (deg): 90.00 90.00 90.00
Positions (direct):
1 Ge 0.000 0.000 0.000
2 Te 0.000 0.000 0.500
3 Li 0.500 0.500 0.500
4 N 0.000 0.500 0.000
5 N 0.500 0.000 0.000

=====

Entry 6:
Entry from the Alexandria database: an optimized crystal structure of Pa3BiSe8 (PBE).

Space group: No. 186
Uncorrected formation energy (eV/atom): -1.115

a b c (Å): 8.411 8.411 13.128
angles (deg): 90.00 90.00 120.00
Positions (direct):
1 Pa 0.834 0.668 0.714
2 Pa 0.332 0.166 0.714
3 Pa 0.834 0.166 0.714
4 Pa 0.166 0.834 0.214
5 Pa 0.668 0.834 0.214
6 Pa 0.166 0.332 0.214
7 Bi 0.667 0.333 0.965
8 Bi 0.333 0.667 0.465
9 Se 0.839 0.677 0.104
10 Se 0.509 0.491 0.837
11 Se 0.667 0.333 0.600
12 Se 0.000 0.000 0.829
13 Se 0.000 0.000 0.329
14 Se 0.323 0.161 0.104
15 Se 0.983 0.491 0.837
16 Se 0.509 0.017 0.837
17 Se 0.161 0.839 0.604
18 Se 0.839 0.161 0.104
19 Se 0.491 0.983 0.337
20 Se 0.017 0.509 0.337
21 Se 0.333 0.667 0.100
22 Se 0.677 0.839 0.604
23 Se 0.491 0.509 0.337
24 Se 0.161 0.323 0.604

=====

Entry 7:
Entry from the Alexandria database: an optimized crystal structure of HoHf2Os (PBE).

Space group: No. 123
Energy of formation from the pure elements (eV per atom): -0.172

a b c (Å): 3.269 3.269 8.098
angles (deg): 90.00 90.00 90.00
Positions (direct):
1 Hf 0.000 0.000 0.804
2 Hf 0.000 0.000 0.196
3 Os 0.500 0.500 0.000
4 Ho 0.500 0.500 0.500

=====

Entry 8:
Entry from the Alexandria database: an optimized crystal structure of ReP (PBE).

Space group: No. 62
Energy above the lowest structure with this stoichiometry (meV per atom): 0.0
Energy of formation from the pure elements (eV per atom): -0.289

a b c (Å): 3.053 6.191 5.904
angles (deg): 90.00 90.00 90.00
Positions (direct):
1 P 0.750 0.940 0.186
2 P 0.250 0.440 0.314
3 P 0.750 0.560 0.686
4 P 0.250 0.060 0.814
5 Re 0.750 0.304 0.033
6 Re 0.250 0.804 0.467
7 Re 0.750 0.196 0.533
8 Re 0.250 0.696 0.967

=====

Entry 9:
Entry from the Alexandria database: an optimized crystal structure of BeAl2Te4 (PBE).

Space group: No. 111
Uncorrected formation energy (eV/atom): -0.406

a b c (Å): 5.916 5.916 5.876
angles (deg): 90.00 90.00 90.00
Positions (direct):
1 Be 0.000 0.000 0.000
2 Al 0.500 0.000 0.500
3 Al 0.000 0.500 0.500
4 Te 0.744 0.256 0.780
5 Te 0.256 0.256 0.220
6 Te 0.256 0.744 0.780
7 Te 0.744 0.744 0.220

=====

Entry 10:
Entry from the Alexandria database: an optimized crystal structure of TiCuNi2Pt (PBE).

Space group: No. 11
Energy of formation from the pure elements (eV per atom): -0.395

a b c (Å): 3.736 5.935 5.856
angles (deg): 90.76 90.00 90.00
Positions (direct):
1 Ti 0.250 0.728 0.755
2 Ti 0.750 0.272 0.245
3 Cu 0.250 0.945 0.363
4 Cu 0.750 0.055 0.637
5 Ni 0.750 0.649 0.455
6 Ni 0.250 0.351 0.545
7 Ni 0.750 0.448 0.829
8 Ni 0.250 0.552 0.171
9 Pt 0.250 0.166 0.945
10 Pt 0.750 0.834 0.055

=====

Entry 11:
Entry from the Alexandria database: an optimized crystal structure of Pm4DySb2 (PBE).

Space group: No. 139
Uncorrected formation energy (eV/atom): 0.119

a b c (Å): 5.383 5.383 9.266
angles (deg): 106.89 106.89 90.00
Positions (direct):
1 Pm 0.816 0.816 0.632
2 Pm 0.184 0.184 0.368
3 Pm 0.000 0.500 0.000
4 Pm 0.500 0.000 0.000
5 Dy 0.000 0.000 0.000
6 Sb 0.633 0.633 0.266
7 Sb 0.367 0.367 0.734

=====

Entry 12:
Entry from the Alexandria database: an optimized crystal structure of Pr2NdHo6 (PBE).

Space group: No. 71
Energy above the lowest structure with this stoichiometry (meV per atom): 0.0
Energy of formation from the pure elements (eV per atom): 0.105

a b c (Å): 3.504 9.823 9.823
angles (deg): 63.56 79.75 79.75
Positions (direct):
1 Pr 0.843 0.657 0.657
2 Pr 0.157 0.343 0.343
3 Nd 0.000 0.000 0.000
4 Ho 0.822 0.345 0.011
5 Ho 0.178 0.989 0.655
6 Ho 0.178 0.655 0.989
7 Ho 0.500 0.312 0.688
8 Ho 0.822 0.011 0.345
9 Ho 0.500 0.688 0.312

=====

Calculated volume values (in Å³ per cell) by entry order: 549.0 88.3 853.1 285.7 86.9 804.3 86.5 111.6 205.7 129.8 244.8 296.0.
E values (in eV per cell) by entry order: -128.4 -36.3 -253.9 -50.1 -21.8 -147.2 -36.4 -73.7 -26.6 -63.1 -31.0 -40.8.